[1]
# PmAgS2

A geometry-optimized PmAgS2 structure (PBE-GGA, Alexandria).

```
PmAgS2
1.0
3.556 0.000 0.000
0.000 4.738 0.000
0.000 0.000 4.738
S Ag Pm
2 1 1
Direct
0.000 0.000 0.500
0.000 0.500 0.000
0.500 0.000 0.000
0.500 0.500 0.500
```



[2]
# Pm2AgS

A geometry-optimized Pm2AgS structure (PBE-GGA, Alexandria).

Values from the calculation:
polymorph energy (0 for the lowest one)	0.98	eV/f.u.

```
Pm2AgS
1.0
-0.299 -3.541 0.443
0.480 -0.480 -3.516
7.226 -0.480 1.051
S Ag Pm
1 1 2
Direct
0.500 0.500 0.000
0.500 0.500 0.500
0.000 0.000 0.764
0.000 0.000 0.236
```



[3]
# PmAgS

A geometry-optimized PmAgS structure (PBE-GGA, Alexandria).

```
PmAgS
1.0
3.691 -1.061 0.791
-2.636 4.825 -0.640
1.912 -0.910 9.288
S Ag Pm
2 2 2
Direct
0.362 0.750 0.139
0.638 0.250 0.861
0.051 0.750 0.449
0.949 0.250 0.551
0.699 0.750 0.800
0.301 0.250 0.200
```



| no. | formation energy from raw total energies (eV/atom) | DOS at the Fermi energy (states/eV/cell) |
| --- | --- | --- |
| 1 | -1.03 | 2.293 |
| 2 | -0.88 | 3.571 |
| 3 | -1.26 | 1.745 |